The following is a PBE-GGA calculation of crystalline HfVSCl2 at its relaxed geometry, from Alexandria.

a b c (Å): 4.639 4.639 4.898
angles (deg): 90.00 90.00 90.00
Element x y z (fractional)
Hf  0.000  0.000  0.000
V  0.500  0.500  0.500
S  0.500  0.500  0.000
Cl  0.000  0.500  0.500
Cl  0.500  0.000  0.500

Output
The value obtained for the excess energy over the best structure of this formula in the dataset is 270 meV per atom. For the uncorrected formation energy, the calculation gives -0.09 eV per atom.

The following is a PBE-GGA calculation of crystalline Mg6CdAu3 at its relaxed geometry, from Alexandria.

a b c (Å): 8.621 4.640 10.066
angles (deg): 90.00 103.27 90.00
Element x y z (fractional)
Mg  0.053  0.250  0.411
Mg  0.140  0.750  0.184
Mg  0.221  0.250  0.980
Mg  0.306  0.750  0.775
Mg  0.359  0.250  0.296
Mg  0.411  0.250  0.600
Mg  0.589  0.750  0.400
Mg  0.641  0.750  0.704
Mg  0.694  0.250  0.225
Mg  0.779  0.750  0.020
Mg  0.860  0.250  0.816
Mg  0.947  0.750  0.589
Cd  0.455  0.750  0.094
Cd  0.545  0.250  0.906
Au  0.027  0.750  0.883
Au  0.126  0.250  0.695
Au  0.285  0.750  0.464
Au  0.715  0.250  0.536
Au  0.874  0.750  0.305
Au  0.973  0.250  0.117

The following is a PBE-GGA calculation of crystalline La2CdOs at its relaxed geometry, from Alexandria.

a b c (Å): 3.664 3.664 7.154
angles (deg): 90.00 90.00 90.00
Element x y z (fractional)
La  0.000  0.000  0.000
La  0.500  0.500  0.292
Cd  0.500  0.500  0.720
Os  0.000  0.000  0.511

The following is a PBE-GGA calculation of crystalline Th6Ge2BiSb3 at its relaxed geometry, from Alexandria.

a b c (Å): 9.978 9.978 8.954
angles (deg): 103.07 103.07 25.67
Element x y z (fractional)
Th  0.010  0.010  0.262
Th  0.328  0.328  0.428
Th  0.328  0.328  0.894
Th  0.672  0.672  0.106
Th  0.672  0.672  0.572
Th  0.990  0.990  0.738
Ge  0.168  0.168  0.334
Ge  0.832  0.832  0.666
Bi  0.500  0.500  0.000
Sb  0.160  0.160  0.834
Sb  0.500  0.500  0.500
Sb  0.840  0.840  0.166

Output
For the uncorrected formation energy, the calculation gives -0.83 eV per atom.

The following is a PBE-GGA calculation of crystalline Li3SmU3S8 at its relaxed geometry, from Alexandria.

a b c (Å): 7.681 7.681 7.681
angles (deg): 61.67 61.67 61.67
Element x y z (fractional)
Li  0.000  0.500  0.500
Li  0.500  0.000  0.500
Li  0.500  0.500  0.000
Sm  0.500  0.500  0.500
U  0.000  0.000  0.500
U  0.000  0.500  0.000
U  0.500  0.000  0.000
S  0.244  0.752  0.752
S  0.248  0.248  0.756
S  0.248  0.756  0.248
S  0.252  0.252  0.252
S  0.748  0.748  0.748
S  0.752  0.244  0.752
S  0.752  0.752  0.244
S  0.756  0.248  0.248

Output
For the uncorrected formation energy, the calculation gives -1.46 eV per atom.

The following is a PBE-GGA calculation of crystalline CuHgO2 at its relaxed geometry, from Alexandria.

a b c (Å): 6.046 6.046 6.046
angles (deg): 29.86 29.86 29.86
Element x y z (fractional)
Cu  0.000  0.000  0.000
Hg  0.832  0.832  0.832
O  0.397  0.397  0.397
O  0.606  0.606  0.606

Output
For the uncorrected formation energy, the calculation gives -0.20 eV per atom.

The following is a PBE-GGA calculation of crystalline ScTlSi2Pb at its relaxed geometry, from Alexandria.

a b c (Å): 5.249 5.249 5.706
angles (deg): 90.00 90.00 90.00
Element x y z (fractional)
Sc  0.000  0.000  0.000
Tl  0.500  0.500  0.000
Si  0.000  0.500  0.500
Si  0.500  0.000  0.500
Pb  0.500  0.500  0.500

Output
For the uncorrected formation energy, the calculation gives 1.15 eV per atom.

The following is a PBE-GGA calculation of crystalline Ac2DyTiO6 at its relaxed geometry, from Alexandria.

a b c (Å): 5.910 5.973 10.175
angles (deg): 90.00 124.84 90.00
Element x y z (fractional)
Ac  0.237  0.049  0.247
Ac  0.237  0.451  0.747
Ac  0.763  0.549  0.253
Ac  0.763  0.951  0.753
Dy  0.500  0.000  0.000
Dy  0.500  0.500  0.500
Ti  0.000  0.000  0.500
Ti  0.000  0.500  0.000
O  0.144  0.215  0.948
O  0.144  0.285  0.448
O  0.236  0.695  0.953
O  0.236  0.805  0.453
O  0.330  0.023  0.738
O  0.330  0.477  0.238
O  0.670  0.523  0.762
O  0.670  0.977  0.262
O  0.764  0.195  0.547
O  0.764  0.305  0.047
O  0.856  0.715  0.552
O  0.856  0.785  0.052

Output
For the uncorrected formation energy, the calculation gives -3.27 eV per atom.

The following is a PBE-GGA calculation of crystalline LaPr5Dy2Y at its relaxed geometry, from Alexandria.

a b c (Å): 10.633 10.633 10.787
angles (deg): 90.00 90.00 148.50
Element x y z (fractional)
La  0.085  0.915  0.500
La  0.915  0.085  0.000
Pr  0.019  0.981  0.789
Pr  0.115  0.885  0.070
Pr  0.204  0.796  0.754
Pr  0.220  0.780  0.361
Pr  0.483  0.517  0.070
Pr  0.517  0.483  0.570
Pr  0.780  0.220  0.861
Pr  0.796  0.204  0.254
Pr  0.885  0.115  0.570
Pr  0.981  0.019  0.289
Dy  0.384  0.616  0.366
Dy  0.386  0.614  0.781
Dy  0.614  0.386  0.281
Dy  0.616  0.384  0.866
Y  0.301  0.699  0.058
Y  0.699  0.301  0.558

The following is a PBE-GGA calculation of crystalline LiAl4Br at its relaxed geometry, from Alexandria.

a b c (Å): 5.606 5.606 5.606
angles (deg): 60.00 60.00 60.00
Element x y z (fractional)
Li  0.000  0.000  0.000
Al  0.119  0.627  0.627
Al  0.627  0.119  0.627
Al  0.627  0.627  0.119
Al  0.627  0.627  0.627
Br  0.250  0.250  0.250

Output
For the uncorrected formation energy, the calculation gives 0.13 eV per atom.

The following is a PBE-GGA calculation of crystalline SmInGe at its relaxed geometry, from Alexandria.

a b c (Å): 4.389 4.389 4.613
angles (deg): 90.00 90.00 120.00
Element x y z (fractional)
Sm  0.000  0.000  0.000
In  0.333  0.667  0.430
Ge  0.667  0.333  0.657

The following is a PBE-GGA calculation of crystalline LaHRh at its relaxed geometry, from Alexandria.

a b c (Å): 6.683 6.683 4.296
angles (deg): 90.22 90.22 34.12
Element x y z (fractional)
La  0.127  0.127  0.243
La  0.873  0.873  0.757
H  0.307  0.307  0.442
H  0.693  0.693  0.558
Rh  0.414  0.414  0.211
Rh  0.586  0.586  0.789

Output
The value obtained for the excess energy over the best structure of this formula in the dataset is 2 meV per atom.

Number 1: D(E_F) 4.17 states/eV/cell, total DFT energy (no corrections) -0.201 hartree per atom. Number 2: D(E_F) 6.81 states/eV/cell, total DFT energy (no corrections) -0.090 hartree per atom. Number 3: D(E_F) 3.66 states/eV/cell, total DFT energy (no corrections) -0.194 hartree per atom. Number 4: D(E_F) 5.25 states/eV/cell, total DFT energy (no corrections) -0.245 hartree per atom. Number 5: D(E_F) 12.43 states/eV/cell, total DFT energy (no corrections) -0.243 hartree per atom. Number 6: D(E_F) 1.82 states/eV/cell, total DFT energy (no corrections) -0.139 hartree per atom. Number 7: D(E_F) 4.86 states/eV/cell, total DFT energy (no corrections) -0.129 hartree per atom. Number 8: D(E_F) 4.52 states/eV/cell, total DFT energy (no corrections) -0.306 hartree per atom. Number 9: D(E_F) 28.42 states/eV/cell, total DFT energy (no corrections) -0.176 hartree per atom. Number 10: D(E_F) 2.84 states/eV/cell, total DFT energy (no corrections) -0.109 hartree per atom. Number 11: D(E_F) 0.38 states/eV/cell, total DFT energy (no corrections) -0.167 hartree per atom. Number 12: D(E_F) 1.03 states/eV/cell, total DFT energy (no corrections) -0.216 hartree per atom.